Computed, not measured: crystalline HPd4Pt at its relaxed geometry at the PBE level of DFT.

Results
DFT total energy in eV/atom: -4.592
Mass density in g cm⁻³: 10.562
Polymorph energy (0 for the lowest one) in eV per atom: 0.4039
Magnetic moment in μB per atom: 0.0000

Unit cell a=7.383 b=7.383 c=7.174 alpha=90.00 beta=90.00 gamma=90.00
Space group I4_1md (No. 109)
Symmetry-distinct sites (fractional):
H (0.000, 0.000, 0.000)
Pd (0.000, 0.175, 0.772)
Pd (0.000, 0.197, 0.152)
Pt (0.000, 0.000, 0.445)

Computed, not measured: crystalline H5Pd8Pt at its relaxed geometry at the PBE level of DFT.

Results
DFT total energy in eV/atom: -4.648
Mass density in g cm⁻³: 11.363
Magnetic moment in μB per atom: 0.0000

Unit cell a=2.877 b=7.298 c=7.614 alpha=93.19 beta=100.51 gamma=100.90
Space group P1 (No. 1)
Symmetry-distinct sites (fractional):
H (0.000, 0.000, 0.000)
H (0.006, 0.263, 0.731)
H (0.141, 0.920, 0.392)
H (0.338, 0.838, 0.832)
H (0.500, 0.544, 0.483)
Pd (0.164, 0.106, 0.220)
Pd (0.180, 0.753, 0.604)
Pd (0.490, 0.098, 0.879)
Pd (0.522, 0.764, 0.277)
Pd (0.564, 0.426, 0.697)
Pd (0.816, 0.089, 0.541)
Pd (0.851, 0.746, 0.951)
Pd (0.888, 0.430, 0.353)
Pt (0.232, 0.429, 0.032)

Computed, not measured: crystalline H3PdPt at its relaxed geometry at the PBE level of DFT.

Results
DFT total energy in eV/atom: -4.153
Mass density in g cm⁻³: 11.626
Polymorph energy (0 for the lowest one) in eV per atom: 0.0804
Magnetic moment in μB per atom: 0.0000

Unit cell a=3.517 b=3.517 c=3.517 alpha=90.00 beta=90.00 gamma=90.00
Space group Pm-3m (No. 221)
Symmetry-distinct sites (fractional):
H (0.000, 0.000, 0.500)
Pd (0.500, 0.500, 0.500)
Pt (0.000, 0.000, 0.000)

Computed, not measured: crystalline H4Pd6Pt at its relaxed geometry at the PBE level of DFT.

Results
DFT total energy in eV/atom: -4.600
Mass density in g cm⁻³: 11.182
Magnetic moment in μB per atom: 0.0000

Unit cell a=4.787 b=10.797 c=4.864 alpha=90.00 beta=98.27 gamma=90.00
Space group P2_1/m (No. 11)
Symmetry-distinct sites (fractional):
H (0.051, 0.150, 0.317)
H (0.392, 0.593, 0.060)
Pd (0.000, 0.000, 0.500)
Pd (0.249, 0.077, 0.039)
Pd (0.252, 0.750, 0.915)
Pd (0.470, 0.625, 0.425)
Pt (0.043, 0.250, 0.621)